(1)
NdScZnCd (PBE, optimized geometry); final energy = -14.38 eV per formula unit; distance to the lowest polymorph of the same formula = 39.8 meV per atom
1.0
7.2605 0.0000 0.0000
0.0000 7.2605 0.0000
0.0000 0.0000 7.2605
Nd Sc Zn Cd
4 4 4 4
Cartesian
0.0000 0.0000 0.0000
0.0000 3.6302 3.6302
3.6302 0.0000 3.6302
3.6302 3.6302 0.0000
0.0000 0.0000 3.6302
0.0000 3.6302 0.0000
3.6302 0.0000 0.0000
3.6302 3.6302 3.6302
1.8151 1.8151 5.4454
1.8151 5.4454 1.8151
5.4454 1.8151 1.8151
5.4454 5.4454 5.4454
1.8151 1.8151 1.8151
1.8151 5.4454 5.4454
5.4454 1.8151 5.4454
5.4454 5.4454 1.8151

(2)
In3PSe (PBE, optimized geometry); final energy = -14.05 eV per formula unit; distance to the lowest polymorph of the same formula = 449.7 meV per atom; raw formation energy = 59 kJ per mole of atoms
1.0
5.4423 0.0000 0.0000
0.0000 5.4423 0.0000
0.0000 0.0000 5.4423
In P Se
3 1 1
Cartesian
0.0000 0.0000 2.7212
0.0000 2.7212 0.0000
2.7212 0.0000 0.0000
2.7212 2.7212 2.7212
0.0000 0.0000 0.0000

(3)
TlCd2I2 (PBE, optimized geometry); final energy = -8.29 eV per formula unit; distance to the lowest polymorph of the same formula = 54.3 meV per atom; raw formation energy = -19 kJ per mole of atoms
1.0
8.6443 0.0000 0.0000
0.0000 8.6443 0.0000
0.0000 0.0000 4.7808
Tl Cd I
2 4 4
Cartesian
0.0000 0.0000 0.0000
4.3221 4.3221 0.0000
0.9714 3.3508 0.0000
3.3508 7.6729 0.0000
5.2935 0.9714 0.0000
7.6729 5.2935 0.0000
1.9619 6.2841 2.3904
2.3602 1.9619 2.3904
6.2841 6.6823 2.3904
6.6823 2.3602 2.3904

(4)
Na2LiTcH6 (PBE, optimized geometry); final energy = -35.97 eV per formula unit
1.0
4.5364 -2.6216 0.0000
4.5364 2.6216 0.0000
-3.0254 0.0000 4.2773
Na Li Tc H
2 1 1 6
Cartesian
1.5197 0.0000 1.0576
4.5277 0.0000 3.2198
4.5364 0.0000 0.0000
-1.5127 0.0000 2.1387
3.7363 1.3678 1.1082
-0.0747 0.0000 3.1744
2.3112 1.3678 3.1691
3.7363 -1.3678 1.1082
6.1222 0.0000 1.1030
2.3112 -1.3678 3.1691